No. 1
Below is BaNiPt4 at its PBEsol-relaxed geometry, with properties calculated at the SCAN level.

ΔH_f (0 K), kcal/mol of atoms: -3.9

a b c (Å): 7.6067 7.6067 7.6067
angles (deg): 90.00 90.00 90.00
With the nearest neighbours (Å) after each atom.
Space group F-43m (No. 216)
Asymmetric unit:
Ba (0.0000, 0.0000, 0.0000)  12 Pt 3.16, 4 Ni 3.29
Ni (0.2500, 0.2500, 0.2500)  12 Pt 3.15, 4 Ba 3.29
Pt (0.1243, 0.1243, 0.6243)  6 Pt 2.67-2.71


No. 2
Below is CaZn at its PBEsol-relaxed geometry, with properties calculated at the SCAN level.

ΔH_f (0 K), kcal/mol of atoms: -1.6

a b c (Å): 6.0425 6.0425 6.0425
angles (deg): 90.00 90.00 90.00
With the nearest neighbours (Å) after each atom.
Space group Fm-3m (No. 225)
Asymmetric unit:
Ca (0.0000, 0.0000, 0.0000)  6 Zn 3.02
Zn (0.0000, 0.0000, 0.5000)  6 Ca 3.02